## Ca4Sb (PBE)

Data for a geometry-optimized Ca4Sb structure.

Lattice parameters (Å, degrees): 6.3815 6.3815 6.3815 109.47 109.47 109.47
Sites, in units of the cell vectors:
Ca: 0.5000 0.0000 0.0000
Ca: 0.5000 0.5000 0.5000
Ca: 0.0000 0.5000 0.0000
Ca: 0.0000 0.0000 0.5000
Sb: 0.0000 0.0000 0.0000

Values from the calculation:
Energy in Ha/atom: -0.098
Space-group type: Im-3m, No. 229

## Ca4Sb (PBE)

Data for a geometry-optimized Ca4Sb structure.

Lattice parameters (Å, degrees): 6.0261 6.0261 6.0261 90.00 90.00 90.00
Sites, in units of the cell vectors:
Sb: 0.5000 0.5000 0.5000
Ca: 0.0000 0.0000 0.0000
Ca: 0.5000 0.0000 0.5000
Ca: 0.0000 0.5000 0.5000
Ca: 0.5000 0.5000 0.0000

Values from the calculation:
Energy in Ha/atom: -0.100
Space-group type: Pm-3m, No. 221

## CaSb3 (PBE)

Data for a geometry-optimized CaSb3 structure.

Lattice parameters (Å, degrees): 6.4053 6.4053 6.0983 90.00 90.00 95.98
Sites, in units of the cell vectors:
Ca: 0.3970 0.6030 0.2500
Ca: 0.6030 0.3970 0.7500
Sb: 0.9859 0.0141 0.7500
Sb: 0.0141 0.9859 0.2500
Sb: 0.0907 0.4694 0.7500
Sb: 0.9093 0.5306 0.2500
Sb: 0.5306 0.9093 0.7500
Sb: 0.4694 0.0907 0.2500

Values from the calculation:
Energy in Ha/atom: -0.144
Space-group type: Cmcm, No. 63

## Ca2Sb (PBE)

Data for a geometry-optimized Ca2Sb structure.

Lattice parameters (Å, degrees): 5.0900 5.0900 4.1196 90.00 90.00 90.00
Site moments in Bohr magnetons follow the coordinates.
Sites, in units of the cell vectors:
Sb: 0.0000 0.0000 0.0000  0.02
Ca: 0.0000 0.5000 0.5000  0.09
Ca: 0.5000 0.0000 0.5000  0.09

Values from the calculation:
Energy in Ha/atom: -0.124
Space-group type: P4/mmm, No. 123

## Ca5Sb3 (PBE)

Data for a geometry-optimized Ca5Sb3 structure.

Lattice parameters (Å, degrees): 9.0838 9.0837 6.9794 90.00 90.00 120.00
Sites, in units of the cell vectors:
Ca: 0.6667 0.3334 0.0000
Ca: 0.3333 0.6666 0.5000
Ca: 0.3333 0.6666 0.0000
Ca: 0.6667 0.3334 0.5000
Ca: 0.0000 0.7482 0.2500
Ca: 0.2519 0.2518 0.2500
Ca: 0.7481 0.0000 0.2500
Ca: 0.0000 0.2518 0.7500
Ca: 0.7481 0.7482 0.7500
Ca: 0.2519 0.0000 0.7500
Sb: 0.0000 0.3892 0.2500
Sb: 0.6108 0.6108 0.2500
Sb: 0.3892 0.0000 0.2500
Sb: 0.0000 0.6108 0.7500
Sb: 0.3892 0.3892 0.7500
Sb: 0.6108 0.0000 0.7500

Values from the calculation:
Energy in Ha/atom: -0.139
Space-group type: P6_3/mcm, No. 193

## CaSb4 (PBE)

Data for a geometry-optimized CaSb4 structure.

Lattice parameters (Å, degrees): 5.6796 5.6796 5.6796 90.00 90.00 90.00
Sites, in units of the cell vectors:
Sb: 0.0000 0.0000 0.0000
Sb: 0.5000 0.0000 0.5000
Sb: 0.0000 0.5000 0.5000
Sb: 0.5000 0.5000 0.0000
Ca: 0.5000 0.5000 0.5000

Values from the calculation:
Energy in Ha/atom: -0.110
Space-group type: Pm-3m, No. 221

## Ca2Sb (PBE)

Data for a geometry-optimized Ca2Sb structure.

Lattice parameters (Å, degrees): 6.5248 6.5248 6.5248 143.35 143.35 52.80
Sites, in units of the cell vectors:
Ca: 0.6360 0.6360 0.0000
Ca: 0.3640 0.3640 0.0000
Sb: 0.0000 0.0000 0.0000

Values from the calculation:
Energy in Ha/atom: -0.122
Space-group type: I4/mmm, No. 139

## Ca4Sb3 (PBE)

Data for a geometry-optimized Ca4Sb3 structure.

Lattice parameters (Å, degrees): 8.2309 8.2309 8.2309 109.47 109.47 109.47
Sites, in units of the cell vectors:
Ca: 0.3522 0.5000 0.0000
Ca: 0.5000 0.3522 0.5000
Ca: 0.0000 0.0000 0.3522
Ca: 0.6478 0.1478 0.1478
Ca: 0.0000 0.0000 0.8522
Ca: 0.1478 0.6478 0.6478
Ca: 0.8522 0.5000 0.0000
Ca: 0.5000 0.8522 0.5000
Sb: 0.1250 0.3750 0.2500
Sb: 0.6250 0.7500 0.8750
Sb: 0.8750 0.2500 0.6250
Sb: 0.2500 0.8750 0.1250
Sb: 0.7500 0.6250 0.3750
Sb: 0.3750 0.1250 0.7500

Values from the calculation:
Energy in Ha/atom: -0.143
Space-group type: I-43d, No. 220

## CaSb3 (PBE)

Data for a geometry-optimized CaSb3 structure.

Lattice parameters (Å, degrees): 5.4572 5.4572 5.4572 60.00 60.00 60.00
Sites, in units of the cell vectors:
Sb: 0.2500 0.2500 0.2500
Sb: 0.5000 0.5000 0.5000
Sb: 0.7500 0.7500 0.7500
Ca: 0.0000 0.0000 0.0000

Values from the calculation:
Energy in Ha/atom: -0.139
Space-group type: Fm-3m, No. 225

## Ca2Sb (PBE)

Data for a geometry-optimized Ca2Sb structure.

Lattice parameters (Å, degrees): 4.6720 7.1535 7.2007 90.00 90.00 90.00
Site moments in Bohr magnetons follow the coordinates.
Sites, in units of the cell vectors:
Ca: 0.0000 0.3470 0.7434  0.07
Ca: 0.0000 0.6530 0.2566  0.07
Ca: 0.5000 0.1530 0.2434  0.07
Ca: 0.5000 0.8470 0.7566  0.07
Sb: 0.0000 0.0000 0.0000  0.02
Sb: 0.5000 0.5000 0.5000  0.02

Values from the calculation:
Energy in Ha/atom: -0.124
Space-group type: Pnnm, No. 58

## Ca5Sb4 (PBE)

Data for a geometry-optimized Ca5Sb4 structure.

Lattice parameters (Å, degrees): 8.0473 8.0473 8.0473 95.57 95.57 143.70
Sites, in units of the cell vectors:
Ca: 0.0000 0.0000 0.0000
Ca: 0.6791 0.3209 0.0000
Ca: 0.3209 0.6791 0.0000
Ca: 0.3209 0.3209 0.6418
Ca: 0.6791 0.6791 0.3582
Sb: 0.7179 0.0000 0.7179
Sb: 0.2821 0.0000 0.2821
Sb: 0.0000 0.2821 0.2821
Sb: 0.0000 0.7179 0.7179

Values from the calculation:
Energy in Ha/atom: -0.128
Space-group type: I4/mmm, No. 139

## CaSb4 (PBE)

Data for a geometry-optimized CaSb4 structure.

Lattice parameters (Å, degrees): 5.9685 5.9685 5.9685 109.47 109.47 109.47
Sites, in units of the cell vectors:
Ca: 0.0000 0.0000 0.0000
Sb: 0.5000 0.0000 0.0000
Sb: 0.5000 0.5000 0.5000
Sb: 0.0000 0.5000 0.0000
Sb: 0.0000 0.0000 0.5000

Values from the calculation:
Energy in Ha/atom: -0.136
Space-group type: Im-3m, No. 229